Below is a relaxed KV2ZnO6 crystal, with properties calculated at the GGA+U level.

The structure in POSCAR format:
```
KV2ZnO6
1.0
5.446 -5.722 0.000
5.446 5.722 0.000
-2.421 0.000 5.589
K V Zn O
2 4 2 12
Cartesian
3.630 4.427 4.192 K
4.841 -4.427 1.397 K
1.262 0.940 4.708 V
2.472 -0.940 1.913 V
5.999 0.940 3.676 V
7.209 -0.940 0.882 V
4.841 3.132 1.397 Zn
3.630 -3.132 4.192 Zn
-0.306 1.290 4.045 O
2.159 2.330 5.255 O
0.904 -1.290 1.250 O
2.175 0.130 3.348 O
3.386 -0.130 0.553 O
5.101 2.330 3.130 O
3.369 -2.330 2.460 O
5.085 0.130 5.036 O
6.295 -0.130 2.241 O
7.567 1.290 4.339 O
6.312 -2.330 0.335 O
8.777 -1.290 1.545 O
```

Values from the calculation:
DOS at the Fermi energy: 3.1 states/eV/cell
calculated total energy: -65.2 eV/f.u.
space-group type: C2/c, No. 15